# Ce2TiCr2C4 (PBE-GGA, relaxed)
data_Ce2TiCr2C4
_cell_length_a 12.565
_cell_length_b 3.226
_cell_length_c 5.883
_cell_angle_alpha 90.00
_cell_angle_beta 106.09
_cell_angle_gamma 90.00
_symmetry_space_group_name_H-M 'C 1 2/m 1'
_symmetry_Int_Tables_number 12
_symmetry_space_group_name_Hall '-C 2y'
loop_
_atom_site_label
_atom_site_type_symbol
_atom_site_fract_x
_atom_site_fract_y
_atom_site_fract_z
Ce1 Ce 0.125 0.000 0.032
Ti1 Ti 0.000 0.000 0.500
Cr1 Cr 0.176 0.500 0.507
C1 C 0.035 0.500 0.272
C2 C 0.220 0.000 0.701
# **Formation energy**: -0.242 eV per atom


# TlAgSeS2 (PBE-GGA, relaxed)
data_TlAgSeS2
_cell_length_a 5.889
_cell_length_b 11.211
_cell_length_c 7.354
_cell_angle_alpha 90.00
_cell_angle_beta 90.00
_cell_angle_gamma 90.00
_symmetry_space_group_name_H-M 'C m m e'
_symmetry_Int_Tables_number 67
_symmetry_space_group_name_Hall '-C 2a 2'
loop_
_atom_site_label
_atom_site_type_symbol
_atom_site_fract_x
_atom_site_fract_y
_atom_site_fract_z
Tl1 Tl 0.000 0.250 0.242
Ag1 Ag 0.250 0.000 0.000
Se1 Se 0.000 0.000 0.500
S1 S 0.000 0.119 0.781
# **Raw formation energy**: 0.019 eV/atom


# Cs4DyPu3O12 (PBE-GGA, relaxed)
data_Cs4DyPu3O12
_cell_length_a 8.776
_cell_length_b 8.776
_cell_length_c 8.776
_cell_angle_alpha 90.00
_cell_angle_beta 90.00
_cell_angle_gamma 90.00
_symmetry_space_group_name_H-M 'I m -3 m'
_symmetry_Int_Tables_number 229
_symmetry_space_group_name_Hall '-I 4 2 3'
loop_
_atom_site_label
_atom_site_type_symbol
_atom_site_fract_x
_atom_site_fract_y
_atom_site_fract_z
Cs1 Cs 0.250 0.250 0.250
Dy1 Dy 0.000 0.000 0.000
Pu1 Pu 0.000 0.000 0.500
O1 O 0.000 0.000 0.269
O2 O 0.000 0.250 0.500
# **Raw formation energy**: -2.471 eV/atom


# La6TbPb (PBE-GGA, relaxed)
data_La6TbPb
_cell_length_a 5.113
_cell_length_b 5.113
_cell_length_c 10.475
_cell_angle_alpha 90.00
_cell_angle_beta 90.00
_cell_angle_gamma 90.00
_symmetry_space_group_name_H-M 'P 4/m m m'
_symmetry_Int_Tables_number 123
_symmetry_space_group_name_Hall '-P 4 2'
loop_
_atom_site_label
_atom_site_type_symbol
_atom_site_fract_x
_atom_site_fract_y
_atom_site_fract_z
La1 La 0.000 0.000 0.000
La2 La 0.000 0.000 0.500
La3 La 0.000 0.500 0.245
Tb1 Tb 0.500 0.500 0.500
Pb1 Pb 0.500 0.500 0.000
# **Formation energy**: -0.166 eV per atom


# Pm2Pa2Sb2C (PBE-GGA, relaxed)
data_Pm2Pa2Sb2C
_cell_length_a 4.667
_cell_length_b 4.667
_cell_length_c 16.745
_cell_angle_alpha 90.00
_cell_angle_beta 90.00
_cell_angle_gamma 90.00
_symmetry_space_group_name_H-M 'I 4/m m m'
_symmetry_Int_Tables_number 139
_symmetry_space_group_name_Hall '-I 4 2'
loop_
_atom_site_label
_atom_site_type_symbol
_atom_site_fract_x
_atom_site_fract_y
_atom_site_fract_z
Pm1 Pm 0.000 0.000 0.166
Pa1 Pa 0.000 0.500 0.000
Sb1 Sb 0.000 0.000 0.360
C1 C 0.000 0.000 0.000
# **Raw formation energy**: -0.707 eV/atom


# U2MnGe3Pt4 (PBE-GGA, relaxed)
data_U2MnGe3Pt4
_cell_length_a 4.054
_cell_length_b 4.054
_cell_length_c 11.244
_cell_angle_alpha 90.00
_cell_angle_beta 90.00
_cell_angle_gamma 90.00
_symmetry_space_group_name_H-M 'P -4 m 2'
_symmetry_Int_Tables_number 115
_symmetry_space_group_name_Hall 'P -4 -2'
loop_
_atom_site_label
_atom_site_type_symbol
_atom_site_fract_x
_atom_site_fract_y
_atom_site_fract_z
U1 U 0.000 0.500 0.247
Mn1 Mn 0.000 0.000 0.500
Ge1 Ge 0.000 0.500 0.863
Ge2 Ge 0.500 0.500 0.500
Pt1 Pt 0.000 0.000 0.000
Pt2 Pt 0.000 0.500 0.646
Pt3 Pt 0.500 0.500 0.000
# **Formation energy**: -0.485 eV per atom